Record 1
## CaScHg (PBE)

Data for CaScHg after structural relaxation.

Its energy above the most stable polymorph in this dataset is 7.9 kJ per mole of atoms. For the total magnetization, the calculation gives 0.000 μB/atom. The calculation puts the total energy at -9.12 eV per cell.

The space group is P3m1 (No. 156) and the conventional cell measures 5.0205, 5.0205 and 3.7951 Å, with angles of 90.00, 90.00 and 120.00 degrees. Symmetry generates all atoms from Ca at (0.0000, 0.0000, 0.0000), Sc at (0.3333, 0.6667, 0.5078) and Hg at (0.6667, 0.3333, 0.4735).



Record 2
## KCuAs2Ru (PBE)

Data for KCuAs2Ru after structural relaxation.

For the total magnetization, the calculation gives 0.395 μB/atom. The calculation puts the total energy at -19.90 eV per cell.

The space group is P4/mmm (No. 123) and the conventional cell measures 4.723, 4.723 and 4.820 Å, with angles of 90.00, 90.00 and 90.00 degrees. Symmetry generates all atoms from K at (0.000, 0.000, 0.000), Cu at (0.500, 0.500, 0.500), As at (0.000, 0.500, 0.500) and Ru at (0.500, 0.500, 0.000).



Record 3
## Tl2Ga2AgTe4 (PBE)

Data for Tl2Ga2AgTe4 after structural relaxation.

For the total magnetization, the calculation gives 0.000 μB/atom. The calculation puts the total energy at -56.28 eV per cell. The uncorrected formation energy is -215 meV per atom.

The space group is C2/m (No. 12) and the conventional cell measures 17.037, 4.512 and 7.914 Å, with angles of 90.00, 107.50 and 90.00 degrees. Symmetry generates all atoms from Tl at (0.114, 0.000, 0.044), Ga at (0.172, 0.500, 0.489), Ag at (0.000, 0.000, 0.500), Te at (0.021, 0.500, 0.265) and Te at (0.213, 0.000, 0.696).



Record 4
## Te2MoS (PBE)

Data for Te2MoS after structural relaxation.

For the total magnetization, the calculation gives 0.000 μB/atom. The calculation puts the total energy at -76.07 eV per cell. The uncorrected formation energy is 556 meV per atom.

The space group is I-42d (No. 122) and the conventional cell measures 6.707, 6.707 and 10.713 Å, with angles of 90.00, 90.00 and 90.00 degrees. Symmetry generates all atoms from Te at (0.216, 0.250, 0.125), Mo at (0.000, 0.000, 0.000) and S at (0.000, 0.000, 0.500).



Record 5
## Sr2SiW (PBE)

Data for Sr2SiW after structural relaxation.

For the total magnetization, the calculation gives 0.000 μB/atom. The calculation puts the total energy at -62.43 eV per cell. The uncorrected formation energy is 232 meV per atom.

The space group is R3m (No. 160, hexagonal axes) and the conventional cell measures 4.3018, 4.3018 and 24.6093 Å, with angles of 90.00, 90.00 and 120.00 degrees. Symmetry generates all atoms from Sr at (0.0000, 0.0000, 0.0000), Sr at (0.0000, 0.0000, 0.1747), Si at (0.0000, 0.0000, 0.4206) and W at (0.0000, 0.0000, 0.7540).



Record 6
## Rb3Cd2Br2F5 (PBE)

Data for Rb3Cd2Br2F5 after structural relaxation.

For the total magnetization, the calculation gives 0.000 μB/atom. The calculation puts the total energy at -86.86 eV per cell. The uncorrected formation energy is -2166 meV per atom.

The space group is I4/mmm (No. 139) and the conventional cell measures 4.654, 4.654 and 25.521 Å, with angles of 90.00, 90.00 and 90.00 degrees. Symmetry generates all atoms from Rb at (0.000, 0.000, 0.000), Rb at (0.000, 0.000, 0.162), Cd at (0.000, 0.000, 0.413), Br at (0.000, 0.000, 0.306), F at (0.000, 0.000, 0.500) and F at (0.000, 0.500, 0.084).



Record 7
## Y10Ho4Zr (PBE)

Data for Y10Ho4Zr after structural relaxation.

For the total magnetization, the calculation gives 0.000 μB/atom. The calculation puts the total energy at -175.64 eV per cell.

The space group is I4/mmm (No. 139) and the conventional cell measures 11.243, 11.243 and 7.687 Å, with angles of 90.00, 90.00 and 90.00 degrees. Symmetry generates all atoms from Y at (0.000, 0.209, 0.215), Y at (0.000, 0.500, 0.250), Ho at (0.229, 0.229, 0.500) and Zr at (0.000, 0.000, 0.500).



Record 8
## LiHo4TmS8 (PBE)

Data for LiHo4TmS8 after structural relaxation.

For the total magnetization, the calculation gives 0.000 μB/atom. The calculation puts the total energy at -256.10 eV per cell. The uncorrected formation energy is -1975 meV per atom.

The space group is R3m (No. 160, hexagonal axes) and the conventional cell measures 7.9687, 7.9687 and 19.4430 Å, with angles of 90.00, 90.00 and 120.00 degrees. Symmetry generates all atoms from Li at (0.0000, 0.0000, 0.0000), Ho at (0.0000, 0.0000, 0.7504), Ho at (0.0123, 0.5062, 0.8766), Tm at (0.0000, 0.0000, 0.3703), S at (0.0000, 0.0000, 0.1314), S at (0.0000, 0.0000, 0.6166), S at (0.0242, 0.5121, 0.1271) and S at (0.1759, 0.3519, 0.9568).



Record 9
## TcSeCl (PBE)

Data for TcSeCl after structural relaxation.

Its energy above the most stable polymorph in this dataset is 132.2 kJ per mole of atoms. For the total magnetization, the calculation gives 1.327 μB/atom. The calculation puts the total energy at -51.51 eV per cell. The uncorrected formation energy is 940 meV per atom.

The space group is F-43m (No. 216) and the conventional cell measures 6.567, 6.567 and 6.567 Å, with angles of 90.00, 90.00 and 90.00 degrees. Symmetry generates all atoms from Tc at (0.000, 0.000, 0.000), Se at (0.250, 0.250, 0.250) and Cl at (0.000, 0.000, 0.500).



Record 10
## K5Be4P4 (PBE)

Data for K5Be4P4 after structural relaxation.

For the total magnetization, the calculation gives 0.000 μB/atom. The calculation puts the total energy at -90.51 eV per cell.

The space group is I4/m (No. 87) and the conventional cell measures 12.372, 12.372 and 3.843 Å, with angles of 90.00, 90.00 and 90.00 degrees. Symmetry generates all atoms from K at (0.000, 0.000, 0.000), K at (0.139, 0.794, 0.500), Be at (0.071, 0.402, 0.500) and P at (0.039, 0.319, 0.000).



Record 11
## SiH2Pd4 (PBE)

Data for SiH2Pd4 after structural relaxation.

For the total magnetization, the calculation gives 0.000 μB/atom. The calculation puts the total energy at -280.29 eV per cell.

The space group is Fdd2 (No. 43) and the conventional cell measures 10.106, 10.974 and 6.097 Å, with angles of 90.00, 90.00 and 90.00 degrees. Symmetry generates all atoms from Si at (0.000, 0.000, 0.000), H at (0.091, 0.348, 0.886), Pd at (0.082, 0.112, 0.348) and Pd at (0.122, 0.180, 0.915).



Record 12
## SrTl3Au (PBE)

Data for SrTl3Au after structural relaxation.

For the total magnetization, the calculation gives 0.000 μB/atom. The calculation puts the total energy at -53.48 eV per cell.

The space group is Pnma (No. 62) and the conventional cell measures 10.149, 4.697 and 12.423 Å, with angles of 90.00, 90.00 and 90.00 degrees. Symmetry generates all atoms from Sr at (0.206, 0.250, 0.004), Tl at (0.060, 0.250, 0.399), Tl at (0.093, 0.750, 0.196), Tl at (0.149, 0.750, 0.798) and Au at (0.128, 0.250, 0.634).